Entry 1:
# Tl14CdSn

A relaxed Tl14CdSn crystal (PBE, Alexandria).

Computed properties:
E_tot in eV/atom: -2.355
ΔE_f in meV per atom: 23
Mass density in kg/m3: 10679

abc: 7.0042 7.0042 11.3369
angles: 90.00 90.00 120.16
Last column: nearest neighbours and their distance in Å.
Atoms (fractional coordinates):
1 Tl 0.3742 0.1281 0.7387  1 Cd 3.37, 1 Sn 3.39, 10 Tl 3.43-3.60
2 Tl 0.7111 0.7883 0.0000  12 Tl 3.44-3.56
3 Tl 0.3745 0.6255 0.7489  11 Tl 3.45-3.52, 1 Cd 3.47
4 Tl 0.2117 0.2889 0.0000  12 Tl 3.44-3.56
5 Tl 0.0481 0.4548 0.5000  2 Sn 3.42-3.59, 8 Tl 3.43-3.51, 2 Cd 3.43-3.57
6 Tl 0.8742 0.1258 0.2494  1 Sn 3.47, 11 Tl 3.47-3.51
7 Tl 0.8719 0.6258 0.2613  1 Cd 3.37, 1 Sn 3.39, 10 Tl 3.43-3.60
8 Tl 0.8719 0.6258 0.7387  1 Cd 3.37, 1 Sn 3.39, 10 Tl 3.43-3.60
9 Tl 0.8742 0.1258 0.7506  1 Sn 3.47, 11 Tl 3.47-3.51
10 Tl 0.3745 0.6255 0.2511  11 Tl 3.45-3.52, 1 Cd 3.47
11 Tl 0.7058 0.2942 0.0000  12 Tl 3.44-3.58
12 Tl 0.2099 0.7901 0.0000  12 Tl 3.48-3.60
13 Tl 0.5452 0.9519 0.5000  2 Sn 3.42-3.59, 8 Tl 3.43-3.51, 2 Cd 3.43-3.57
14 Tl 0.3742 0.1281 0.2613  1 Cd 3.37, 1 Sn 3.39, 10 Tl 3.43-3.60
15 Cd 0.5404 0.4596 0.5000  10 Tl 3.37-3.57, 2 Sn 3.49
16 Sn 0.0380 0.9620 0.5000  10 Tl 3.39-3.59, 2 Cd 3.49

Entry 2:
# MgNbP2S

A relaxed MgNbP2S crystal (PBE, Alexandria).

Computed properties:
E_tot in eV/atom: -4.436
Energy above the most stable polymorph in this dataset in eV per formula unit: 4.315
Uncorrected formation energy in meV per atom: 886
Mass density in kg/m3: 3465

abc: 4.6569 4.6569 4.6675
angles: 90.00 90.00 90.00
Last column: nearest neighbours and their distance in Å.
Atoms (fractional coordinates):
1 Mg 0.0000 0.0000 0.0000  4 P 2.33, 2 S 2.33
2 S 0.0000 0.0000 0.5000  2 Mg 2.33
3 Nb 0.5000 0.5000 0.5000  4 S 3.29, 8 P 3.30
4 P 0.5000 0.0000 0.0000  2 Mg 2.33
5 P 0.0000 0.5000 0.0000  2 Mg 2.33

Entry 3:
# Na2TiPCO7

A relaxed Na2TiPCO7 crystal (PBE, Alexandria).

Computed properties:
E_tot in eV/atom: -7.132
Uncorrected formation energy in meV per atom: -2143
Mass density in kg/m3: 2601

abc: 6.5430 5.3152 9.1393
angles: 88.73 90.00 90.00
Last column: nearest neighbours and their distance in Å.
Atoms (fractional coordinates):
1 O 0.7500 0.1609 0.4226  1 P 1.55
2 O 0.2500 0.4624 0.8247  1 C 1.33
3 O 0.2500 0.8391 0.5774  1 P 1.55
4 O 0.4431 0.7927 0.3394  1 P 1.56
5 O 0.7500 0.9492 0.1401  1 C 1.32
6 O 0.5569 0.2073 0.6606  1 P 1.56
7 O 0.7500 0.6966 0.9425  1 C 1.25
8 O 0.9431 0.2073 0.6606  1 P 1.56
9 O 0.7500 0.5376 0.1753  1 C 1.33
10 O 0.2500 0.0508 0.8599  1 C 1.32
11 O 0.2500 0.3034 0.0575  1 C 1.25
12 O 0.7500 0.5833 0.5536  1 P 1.56
13 O 0.0569 0.7927 0.3394  1 P 1.56
14 O 0.2500 0.4167 0.4464  1 P 1.56
15 Na 0.9960 0.7572 0.7717  4 O 2.26-2.46
16 Na 0.0040 0.2428 0.2283  4 O 2.26-2.46
17 Na 0.4960 0.2428 0.2283  4 O 2.26-2.46
18 Na 0.5040 0.7572 0.7717  4 O 2.26-2.46
19 P 0.7500 0.2911 0.5730  4 O 1.55-1.56
20 P 0.2500 0.7089 0.4270  4 O 1.55-1.56
21 C 0.2500 0.2731 0.9219  3 O 1.25-1.33
22 C 0.7500 0.7269 0.0781  3 O 1.25-1.33
23 Ti 0.7500 0.7881 0.3500  6 O 2.01-2.13
24 Ti 0.2500 0.2119 0.6500  6 O 2.01-2.13

Entry 4:
# AlFeW2

A relaxed AlFeW2 crystal (PBE, Alexandria).

Computed properties:
E_tot in eV/atom: -9.315
ΔE_f in meV per atom: 213
Mass density in kg/m3: 12707

abc: 8.9310 8.9310 8.9310
angles: 17.92 17.92 17.92
Last column: nearest neighbours and their distance in Å.
Atoms (fractional coordinates):
1 Fe 0.7500 0.7500 0.7500  6 W 2.63, 6 Fe 2.78
2 Al 0.2500 0.2500 0.2500  6 Al 2.78, 6 W 2.81
3 W 0.0042 0.0042 0.0042  3 Fe 2.63, 6 W 2.78, 3 Al 2.81
4 W 0.4958 0.4958 0.4958  3 Fe 2.63, 6 W 2.78, 3 Al 2.81

Entry 5:
# Na3MoRh3S8

A relaxed Na3MoRh3S8 crystal (PBE, Alexandria).

Computed properties:
E_tot in eV/atom: -5.304
Uncorrected formation energy in meV per atom: -646
Mass density in kg/m3: 4182

abc: 7.1952 7.1903 7.6887
angles: 117.86 90.00 120.02
Last column: nearest neighbours and their distance in Å.
Atoms (fractional coordinates):
1 S 0.7253 0.9612 0.6968  2 Rh 2.42, 1 Mo 2.47
2 S 0.2360 0.9612 0.6968  2 Rh 2.42, 1 Mo 2.47
3 S 0.7288 0.4575 0.6861  3 Rh 2.40
4 S 0.2357 0.4714 0.6966  2 Rh 2.42, 1 Mo 2.47
5 S 0.2747 0.0388 0.3032  2 Rh 2.42, 1 Mo 2.47
6 S 0.2712 0.5425 0.3139  3 Rh 2.40
7 S 0.7643 0.5286 0.3034  2 Rh 2.42, 1 Mo 2.47
8 S 0.7640 0.0388 0.3032  2 Rh 2.42, 1 Mo 2.47
9 Na 0.5000 0.5000 0.0000  6 S 2.87-2.91
10 Na 0.0000 0.0000 0.0000  6 S 2.87-2.90
11 Na 0.0000 0.5000 0.0000  6 S 2.87-2.91
12 Rh 0.0000 0.5000 0.5000  6 S 2.40-2.42
13 Rh 0.5000 0.0000 0.5000  6 S 2.40-2.42
14 Rh 0.5000 0.5000 0.5000  6 S 2.40-2.42
15 Mo 0.0000 0.0000 0.5000  6 S 2.47

Which of these has the lowest E_tot?
AlFeW2

Which of these has the lowest mass density?
Na2TiPCO7

Copy entry 1 word for word.
# Tl14CdSn

A relaxed Tl14CdSn crystal (PBE, Alexandria).

Computed properties:
E_tot in eV/atom: -2.355
ΔE_f in meV per atom: 23
Mass density in kg/m3: 10679

abc: 7.0042 7.0042 11.3369
angles: 90.00 90.00 120.16
Last column: nearest neighbours and their distance in Å.
Atoms (fractional coordinates):
1 Tl 0.3742 0.1281 0.7387  1 Cd 3.37, 1 Sn 3.39, 10 Tl 3.43-3.60
2 Tl 0.7111 0.7883 0.0000  12 Tl 3.44-3.56
3 Tl 0.3745 0.6255 0.7489  11 Tl 3.45-3.52, 1 Cd 3.47
4 Tl 0.2117 0.2889 0.0000  12 Tl 3.44-3.56
5 Tl 0.0481 0.4548 0.5000  2 Sn 3.42-3.59, 8 Tl 3.43-3.51, 2 Cd 3.43-3.57
6 Tl 0.8742 0.1258 0.2494  1 Sn 3.47, 11 Tl 3.47-3.51
7 Tl 0.8719 0.6258 0.2613  1 Cd 3.37, 1 Sn 3.39, 10 Tl 3.43-3.60
8 Tl 0.8719 0.6258 0.7387  1 Cd 3.37, 1 Sn 3.39, 10 Tl 3.43-3.60
9 Tl 0.8742 0.1258 0.7506  1 Sn 3.47, 11 Tl 3.47-3.51
10 Tl 0.3745 0.6255 0.2511  11 Tl 3.45-3.52, 1 Cd 3.47
11 Tl 0.7058 0.2942 0.0000  12 Tl 3.44-3.58
12 Tl 0.2099 0.7901 0.0000  12 Tl 3.48-3.60
13 Tl 0.5452 0.9519 0.5000  2 Sn 3.42-3.59, 8 Tl 3.43-3.51, 2 Cd 3.43-3.57
14 Tl 0.3742 0.1281 0.2613  1 Cd 3.37, 1 Sn 3.39, 10 Tl 3.43-3.60
15 Cd 0.5404 0.4596 0.5000  10 Tl 3.37-3.57, 2 Sn 3.49
16 Sn 0.0380 0.9620 0.5000  10 Tl 3.39-3.59, 2 Cd 3.49

Repeat the fourth record exactly.
# AlFeW2

A relaxed AlFeW2 crystal (PBE, Alexandria).

Computed properties:
E_tot in eV/atom: -9.315
ΔE_f in meV per atom: 213
Mass density in kg/m3: 12707

abc: 8.9310 8.9310 8.9310
angles: 17.92 17.92 17.92
Last column: nearest neighbours and their distance in Å.
Atoms (fractional coordinates):
1 Fe 0.7500 0.7500 0.7500  6 W 2.63, 6 Fe 2.78
2 Al 0.2500 0.2500 0.2500  6 Al 2.78, 6 W 2.81
3 W 0.0042 0.0042 0.0042  3 Fe 2.63, 6 W 2.78, 3 Al 2.81
4 W 0.4958 0.4958 0.4958  3 Fe 2.63, 6 W 2.78, 3 Al 2.81